YCuCl (GGA-PBEsol, optimized geometry); energy relative to the elements, uncorrected = -0.531 eV/atom
1.0
-1.2646 -0.7399 -3.2194
4.2420 -0.4491 -1.5630
-2.1918 -3.6031 1.6890
Y Cu Cl
1 1 1
Cartesian
1.8861 -1.6240 -1.0169
-0.8902 -3.0450 -1.5411
-0.2103 -0.1230 -0.5354



YCuCl2 (GGA-PBEsol, optimized geometry); energy relative to the elements, uncorrected = -1.012 eV/atom; polymorph energy (0 for the lowest one) = 0.0 meV per atom
1.0
3.5449 0.0000 0.0000
0.0000 4.7267 0.0000
-1.7724 -2.3634 6.1839
Y Cu Cl
1 1 2
Cartesian
0.0000 2.3634 0.0000
1.7724 0.0000 0.0000
1.7724 2.3634 1.9495
0.0000 0.0000 4.2344



YCu2Cl (GGA-PBEsol, optimized geometry); energy relative to the elements, uncorrected = -0.361 eV/atom; polymorph energy (0 for the lowest one) = 0.0 meV per atom
1.0
-3.0757 -1.0589 1.0588
0.0272 -2.8555 -2.7768
3.7414 -1.2073 4.1349
Cl Cu Y
1 2 1
Cartesian
-1.5379 -0.5294 0.5294
-0.4237 -3.5281 0.7671
1.1165 -1.5936 1.6497
0.0136 -1.4278 -1.3884



> energy relative to the elements, uncorrected of number 3 (YCu2Cl)?

-0.361 eV/atom



> What is the formula in the first record?

YCuCl



> Which of these has the lowest energy relative to the elements, uncorrected?

YCuCl2